# PmPaCo | Alexandria | PBE-GGA | optimized geometry
# V   276 Å³ per cell
# Total energy   -7.283 eV per atom
# Total magnetic moment   0.0 Bohr magnetons per cell
# Relative energy among the computed polymorphs   0 meV per atom
# Formation energy from the elements   -0.50 eV/f.u.
data_PmPaCo
_chemical_formula_sum 'Pm4 Pa4 Co4'
_symmetry_space_group_name_H-M 'P 1'
_symmetry_Int_Tables_number 1
_symmetry_space_group_name_Hall 'P 1'
_cell_length_a 6.0498
_cell_length_b 8.3088
_cell_length_c 6.9564
_cell_angle_alpha 127.86
_cell_angle_beta 90.00
_cell_angle_gamma 90.00
loop_
_atom_site_label
_atom_site_type_symbol
_atom_site_fract_x
_atom_site_fract_y
_atom_site_fract_z
_atom_site_occupancy
Pm1 Pm 0.6429 0.8613 0.2097 1
Pm2 Pm 0.1429 0.6387 0.2903 1
Pm3 Pm 0.8571 0.3613 0.7097 1
Pm4 Pm 0.3571 0.1387 0.7903 1
Pa1 Pa 0.3505 0.3100 0.4031 1
Pa2 Pa 0.1495 0.8100 0.9031 1
Pa3 Pa 0.6495 0.6900 0.5969 1
Pa4 Pa 0.8505 0.1900 0.0969 1
Co1 Co 0.8668 0.9857 0.6657 1
Co2 Co 0.1332 0.0143 0.3343 1
Co3 Co 0.3668 0.5143 0.8343 1
Co4 Co 0.6332 0.4857 0.1657 1